1:
A plane-wave DFT calculation with GGA-PBEsol was carried out for K2NaAu after structural relaxation.

## Properties
- Symmetry: I-42d
- Fermi-level density of states: 1.52 states/eV/f.u.

Cell lengths 8.594, 8.594, 8.594 Å; angles 96.50, 96.50, 140.69 degrees
Atoms (fractional coordinates):
K 0.375 0.015 0.140
K 0.765 0.625 0.640
K 0.875 0.235 0.860
K 0.985 0.125 0.360
Na 0.250 0.750 0.500
Na 0.500 0.500 0.000
Au 0.000 0.000 0.000
Au 0.750 0.250 0.500

2:
A plane-wave DFT calculation with GGA-PBEsol was carried out for K2NaAu after structural relaxation.

## Properties
- Symmetry: Fm-3m
- Fermi-level density of states: 0.88 states/eV/f.u.

Cell lengths 5.758, 5.758, 5.758 Å; angles 60.00, 60.00, 60.00 degrees
Atoms (fractional coordinates):
K 0.250 0.250 0.250
K 0.750 0.750 0.750
Na 0.000 0.000 0.000
Au 0.500 0.500 0.500

Relative energies, unit meV/atom: 1 9; 2 0

1:
A plane-wave DFT calculation with GGA-PBEsol was carried out for KOs3Au after structural relaxation.

## Properties
- Symmetry: Pm-3m
- Fermi-level density of states: 8.25 states/eV/f.u.

Cell lengths 4.931, 4.931, 4.931 Å; angles 90.00, 90.00, 90.00 degrees
Atoms (fractional coordinates):
K 0.000 0.000 0.000
Os 0.000 0.500 0.500
Os 0.500 0.000 0.500
Os 0.500 0.500 0.000
Au 0.500 0.500 0.500

2:
A plane-wave DFT calculation with GGA-PBEsol was carried out for KOs3Au after structural relaxation.

## Properties
- Symmetry: Pm-3m
- Fermi-level density of states: 5.24 states/eV/f.u.

Cell lengths 4.479, 4.479, 4.479 Å; angles 90.00, 90.00, 90.00 degrees
Atoms (fractional coordinates):
K 0.000 0.000 0.000
Os 0.000 0.000 0.500
Os 0.000 0.500 0.000
Os 0.500 0.000 0.000
Au 0.500 0.500 0.500

Relative energies, unit meV/atom: 1 0; 2 1003

1:
A plane-wave DFT calculation with GGA-PBEsol was carried out for KOsAu2 after structural relaxation.

## Properties
- Symmetry: C2/m
- Fermi-level density of states: 3.50 states/eV/f.u.

Cell lengths 4.627, 4.627, 7.052 Å; angles 94.61, 94.61, 33.66 degrees
Atoms (fractional coordinates):
K 0.000 0.000 0.000
Os 0.500 0.500 0.500
Au 0.239 0.239 0.682
Au 0.761 0.761 0.318

2:
A plane-wave DFT calculation with GGA-PBEsol was carried out for KOsAu2 after structural relaxation.

## Properties
- Symmetry: Pmm2
- Fermi-level density of states: 2.67 states/eV/f.u.

Cell lengths 2.647, 4.633, 7.071 Å; angles 90.00, 90.00, 90.00 degrees
Atoms (fractional coordinates):
K 0.000 0.000 0.000
Os 0.500 0.500 0.368
Au 0.000 0.000 0.430
Au 0.500 0.500 0.737

Relative energies, unit meV/atom: 1 0; 2 48

1:
A plane-wave DFT calculation with GGA-PBEsol was carried out for KRb3Au after structural relaxation.

## Properties
- Symmetry: Pm-3m
- Fermi-level density of states: 4.96 states/eV/f.u.

Cell lengths 7.509, 7.509, 7.509 Å; angles 90.00, 90.00, 90.00 degrees
Atoms (fractional coordinates):
K 0.000 0.000 0.000
Rb 0.000 0.000 0.500
Rb 0.000 0.500 0.000
Rb 0.500 0.000 0.000
Au 0.500 0.500 0.500

2:
A plane-wave DFT calculation with GGA-PBEsol was carried out for KRb3Au after structural relaxation.

## Properties
- Symmetry: Pm-3m
- Fermi-level density of states: 4.70 states/eV/f.u.

Cell lengths 6.782, 6.782, 6.782 Å; angles 90.00, 90.00, 90.00 degrees
Atoms (fractional coordinates):
K 0.000 0.000 0.000
Rb 0.000 0.500 0.500
Rb 0.500 0.000 0.500
Rb 0.500 0.500 0.000
Au 0.500 0.500 0.500

Relative energies, unit meV/atom: 1 568; 2 0

1:
A plane-wave DFT calculation with GGA-PBEsol was carried out for K2RbAu2 after structural relaxation.

## Properties
- Symmetry: P4/mbm
- Fermi-level density of states: 2.60 states/eV/f.u.

Cell lengths 8.681, 8.681, 4.623 Å; angles 90.00, 90.00, 90.00 degrees
Atoms (fractional coordinates):
K 0.162 0.338 0.000
K 0.338 0.838 0.000
K 0.662 0.162 0.000
K 0.838 0.662 0.000
Rb 0.000 0.000 0.500
Rb 0.500 0.500 0.500
Au 0.115 0.615 0.500
Au 0.385 0.115 0.500
Au 0.615 0.885 0.500
Au 0.885 0.385 0.500

2:
A plane-wave DFT calculation with GGA-PBEsol was carried out for K2RbAu2 after structural relaxation.

## Properties
- Symmetry: I4/mmm
- Fermi-level density of states: 2.07 states/eV/f.u.

Cell lengths 7.829, 7.829, 7.829 Å; angles 142.11, 142.11, 54.67 degrees
Atoms (fractional coordinates):
K 0.250 0.750 0.500
K 0.750 0.250 0.500
Rb 0.000 0.000 0.000
Au 0.403 0.403 0.000
Au 0.597 0.597 0.000

Relative energies, unit meV/atom: 1 0; 2 21

1:
A plane-wave DFT calculation with GGA-PBEsol was carried out for KRh2Au after structural relaxation.

## Properties
- Symmetry: Fm-3m
- Fermi-level density of states: 6.91 states/eV/f.u.

Cell lengths 4.596, 4.596, 4.596 Å; angles 60.00, 60.00, 60.00 degrees
Atoms (fractional coordinates):
K 0.000 0.000 0.000
Rh 0.250 0.250 0.250
Rh 0.750 0.750 0.750
Au 0.500 0.500 0.500

2:
A plane-wave DFT calculation with GGA-PBEsol was carried out for KRh2Au after structural relaxation.

## Properties
- Symmetry: R-3m
- Fermi-level density of states: 6.73 states/eV/f.u.

Cell lengths 10.197, 10.197, 10.197 Å; angles 15.72, 15.72, 15.72 degrees
Atoms (fractional coordinates):
K 0.000 0.000 0.000
Rh 0.242 0.242 0.242
Rh 0.758 0.758 0.758
Au 0.500 0.500 0.500

Relative energies, unit meV/atom: 1 300; 2 0

1:
A plane-wave DFT calculation with GGA-PBEsol was carried out for KRu2Au after structural relaxation.

## Properties
- Symmetry: Cmmm
- Fermi-level density of states: 4.78 states/eV/f.u.

Cell lengths 5.520, 5.520, 2.536 Å; angles 90.00, 90.00, 118.72 degrees
Atoms (fractional coordinates):
K 0.000 0.000 0.000
Ru 0.000 0.500 0.500
Ru 0.500 0.000 0.500
Au 0.500 0.500 0.000

2:
A plane-wave DFT calculation with GGA-PBEsol was carried out for KRu2Au after structural relaxation.

## Properties
- Symmetry: Fm-3m
- Fermi-level density of states: 4.05 states/eV/f.u.

Cell lengths 4.594, 4.594, 4.594 Å; angles 60.00, 60.00, 60.00 degrees
Atoms (fractional coordinates):
K 0.000 0.000 0.000
Ru 0.250 0.250 0.250
Ru 0.750 0.750 0.750
Au 0.500 0.500 0.500

Relative energies, unit meV/atom: 1 0; 2 364

1:
A plane-wave DFT calculation with GGA-PBEsol was carried out for KSb2Au after structural relaxation.

## Properties
- Symmetry: Pmmm
- Fermi-level density of states: 1.17 states/eV/f.u.

Cell lengths 3.343, 4.382, 7.480 Å; angles 90.00, 90.00, 90.00 degrees
Atoms (fractional coordinates):
K 0.000 0.000 0.000
Sb 0.500 0.500 0.288
Sb 0.500 0.500 0.712
Au 0.500 0.000 0.500

2:
A plane-wave DFT calculation with GGA-PBEsol was carried out for KSb2Au after structural relaxation.

## Properties
- Symmetry: Cmmm
- Fermi-level density of states: 2.06 states/eV/f.u.

Cell lengths 3.604, 3.604, 8.855 Å; angles 90.00, 90.00, 107.64 degrees
Atoms (fractional coordinates):
K 0.000 0.000 0.000
Sb 0.500 0.500 0.306
Sb 0.500 0.500 0.694
Au 0.000 0.000 0.500

Relative energies, unit meV/atom: 1 0; 2 149